w:
Density functional theory data (PBE-GGA) for a geometry-optimized Cd2GeRu structure.

Cell lengths 6.8206, 6.8206, 6.8206 Å; angles 96.97, 96.97, 139.22 degrees
Last column: nearest neighbours and their distance in Å.
Atoms (fractional coordinates):
Cd: 0.0183 0.6250 0.8933  2 Ru 2.67
Cd: 0.3750 0.2683 0.3933  2 Ru 2.67
Cd: 0.7317 0.1250 0.1067  2 Ru 2.67
Cd: 0.8750 0.9817 0.6067  2 Ru 2.67
Ge: 0.2500 0.7500 0.5000  2 Ru 2.38
Ge: 0.5000 0.5000 0.0000  2 Ru 2.38
Ru: 0.0000 0.0000 0.0000  2 Ge 2.38
Ru: 0.7500 0.2500 0.5000  2 Ge 2.38


x:
Density functional theory data (PBE-GGA) for a geometry-optimized Cd2GeRu structure.

Cell lengths 4.7338, 4.7338, 4.7338 Å; angles 60.00, 60.00, 60.00 degrees
Last column: nearest neighbours and their distance in Å.
Atoms (fractional coordinates):
Cd: 0.2500 0.2500 0.2500  4 Ge 2.90, 4 Ru 2.90
Cd: 0.7500 0.7500 0.7500  4 Ge 2.90, 4 Ru 2.90
Ge: 0.0000 0.0000 0.0000  8 Cd 2.90
Ru: 0.5000 0.5000 0.5000  8 Cd 2.90


So which one is most stable? That would be w, about 0.092 eV/atom below the next structure.


w:
Density functional theory data (PBE-GGA) for a geometry-optimized Cd2GeS structure.

Cell lengths 4.9196, 4.9196, 4.9196 Å; angles 60.00, 60.00, 60.00 degrees
Last column: nearest neighbours and their distance in Å.
Atoms (fractional coordinates):
Cd: 0.2500 0.2500 0.2500  4 S 3.01, 4 Ge 3.01
Cd: 0.7500 0.7500 0.7500  4 S 3.01, 4 Ge 3.01
Ge: 0.0000 0.0000 0.0000  8 Cd 3.01
S: 0.5000 0.5000 0.5000  8 Cd 3.01


x:
Density functional theory data (PBE-GGA) for a geometry-optimized Cd2GeS structure.

Cell lengths 6.9619, 6.9619, 6.9619 Å; angles 124.58, 124.58, 82.23 degrees
Last column: nearest neighbours and their distance in Å.
Atoms (fractional coordinates):
Cd: 0.1083 0.6250 0.9833  2 S 2.57, 2 Ge 2.71
Cd: 0.3750 0.3583 0.4833  2 S 2.57, 2 Ge 2.71
Cd: 0.6417 0.1250 0.0167  2 S 2.57, 2 Ge 2.71
Cd: 0.8750 0.8917 0.5167  2 S 2.57, 2 Ge 2.71
Ge: 0.2500 0.7500 0.5000  4 Cd 2.71
Ge: 0.5000 0.5000 0.0000  4 Cd 2.71
S: 0.0000 0.0000 0.0000  4 Cd 2.57
S: 0.7500 0.2500 0.5000  4 Cd 2.57


So which one is most stable? That would be x, about 0.315 eV/atom below the next structure.


w:
Density functional theory data (PBE-GGA) for a geometry-optimized Cd3GeS structure.

Cell lengths 5.1206, 5.1206, 5.1206 Å; angles 90.00, 90.00, 90.00 degrees
Last column: nearest neighbours and their distance in Å.
Atoms (fractional coordinates):
Cd: 0.0000 0.0000 0.5000  2 S 2.56
Cd: 0.0000 0.5000 0.0000  2 S 2.56
Cd: 0.5000 0.0000 0.0000  2 S 2.56
Ge: 0.5000 0.5000 0.5000  12 Cd 3.62
S: 0.0000 0.0000 0.0000  6 Cd 2.56


x:
Density functional theory data (PBE-GGA) for a geometry-optimized Cd3GeS structure.

Cell lengths 5.0934, 5.0934, 5.0934 Å; angles 90.00, 90.00, 90.00 degrees
Last column: nearest neighbours and their distance in Å.
Atoms (fractional coordinates):
Cd: 0.0000 0.0000 0.5000  2 Ge 2.55
Cd: 0.0000 0.5000 0.0000  2 Ge 2.55
Cd: 0.5000 0.0000 0.0000  2 Ge 2.55
Ge: 0.0000 0.0000 0.0000  6 Cd 2.55
S: 0.5000 0.5000 0.5000  12 Cd 3.60


So which one is most stable? That would be x, about 0.181 eV/atom below the next structure.